Record 1
Material: PrDy3Ga2
Method: DFT, GGA-PBE
State: relaxed

Lattice parameters (Å, degrees): 5.1394 9.2423 8.8552 124.17 90.00 106.14
With the nearest neighbours (Å) after each atom.
Element x y z (fractional)
Pr1 0.8704 0.7408 0.9300  5 Ga 3.13-3.38, 2 Dy 3.48
Pr2 0.1296 0.2592 0.0700  5 Ga 3.13-3.38, 2 Dy 3.48
Dy1 0.3118 0.6236 0.6146  2 Ga 2.87-3.11, 2 Dy 3.21
Dy2 0.9365 0.8730 0.5896  3 Ga 3.12-3.28, 3 Dy 3.43-3.48
Dy3 0.6219 0.2439 0.7346  4 Ga 2.86-3.14
Dy4 0.3781 0.7561 0.2654  4 Ga 2.86-3.14
Dy5 0.0635 0.1270 0.4104  3 Ga 3.12-3.28, 3 Dy 3.43-3.48
Dy6 0.6882 0.3764 0.3854  2 Ga 2.87-3.11, 2 Dy 3.21
Ga1 0.5107 0.0213 0.8718  1 Ga 2.51
Ga2 0.4893 0.9787 0.1282  1 Ga 2.51
Ga3 0.7753 0.5505 0.1657  5 Dy 2.97-3.14
Ga4 0.2247 0.4495 0.8343  5 Dy 2.97-3.14

Properties
Its calculated density is 7.8 g cm⁻³. Its energy above the most stable polymorph in this dataset is 0.078 eV/atom.

Record 2
Material: PrDy3Ga
Method: DFT, GGA-PBE
State: relaxed

Lattice parameters (Å, degrees): 7.6051 7.6051 7.4217 102.45 118.09 109.28
With the nearest neighbours (Å) after each atom.
Element x y z (fractional)
Pr1 0.7327 0.0531 0.7858  1 Ga 3.05
Pr2 0.2673 0.9469 0.2142  1 Ga 3.05
Dy1 0.8417 0.1049 0.3357  2 Ga 2.88-3.05
Dy2 0.2308 0.4940 0.3357  2 Ga 2.88-3.05
Dy3 0.7692 0.5060 0.6643  2 Ga 2.88-3.05
Dy4 0.6946 0.4288 0.1234  2 Ga 2.92-2.97
Dy5 0.1583 0.8951 0.6643  2 Ga 2.88-3.05
Dy6 0.3054 0.5712 0.8766  2 Ga 2.92-2.97
Ga1 0.6422 0.7349 0.3771  6 Dy 2.88-3.05, 1 Pr 3.05
Ga2 0.3578 0.2651 0.6229  6 Dy 2.88-3.05, 1 Pr 3.05

Properties
The value obtained for the total energy is -4.3973 eV per atom. Its calculated density is 7.2 g cm⁻³.

Record 3
Material: PrDyGa4
Method: DFT, GGA-PBE
State: relaxed

Lattice parameters (Å, degrees): 4.2513 4.2513 8.4609 90.00 90.00 120.00
With the nearest neighbours (Å) after each atom.
Element x y z (fractional)
Pr1 0.0000 0.0000 0.5000  12 Ga 3.29
Dy1 0.0000 0.0000 0.0000  12 Ga 3.19
Ga1 0.3333 0.6667 0.2403  3 Ga 2.45
Ga2 0.3333 0.6667 0.7597  3 Ga 2.45
Ga3 0.6667 0.3333 0.2403  3 Ga 2.45
Ga4 0.6667 0.3333 0.7597  3 Ga 2.45

Properties
Its calculated density is 7.3 g cm⁻³. Its energy above the most stable polymorph in this dataset is 0.000 eV/atom.

Record 4
Material: Pr2DyGa4Pt3
Method: DFT, GGA-PBE
State: relaxed

Lattice parameters (Å, degrees): 4.2818 4.2818 11.5732 90.00 90.00 90.00
With the nearest neighbours (Å) after each atom.
Element x y z (fractional)
Pr1 0.5000 0.0000 0.2271  4 Pt 3.26, 8 Ga 3.28-3.39
Pr2 0.0000 0.5000 0.7729  4 Pt 3.26, 8 Ga 3.28-3.39
Dy1 0.5000 0.5000 0.5000  4 Ga 2.87, 4 Pt 3.03
Ga1 0.5000 0.5000 0.0000  4 Pt 2.56
Ga2 0.0000 0.0000 0.0000  4 Pt 2.56
Ga3 0.5000 0.0000 0.6649  1 Pt 2.47
Ga4 0.0000 0.5000 0.3351  1 Pt 2.47
Pt1 0.0000 0.0000 0.5000  4 Ga 2.87, 4 Dy 3.03
Pt2 0.5000 0.0000 0.8783  5 Ga 2.47-2.56
Pt3 0.0000 0.5000 0.1217  5 Ga 2.47-2.56

Properties
The value obtained for the total energy is -5.3207 eV per atom. Its calculated density is 10.2 g cm⁻³.

Record 5
Material: PrDyGa2Pt2
Method: DFT, GGA-PBE
State: relaxed

Lattice parameters (Å, degrees): 4.4870 4.4870 7.2449 90.00 90.00 120.00
With the nearest neighbours (Å) after each atom.
Element x y z (fractional)
Pr1 0.0000 0.0000 0.0000  6 Ga 3.26, 6 Pt 3.26, 2 Dy 3.62
Dy1 0.0000 0.0000 0.5000  6 Pt 3.06, 6 Ga 3.07
Ga1 0.6667 0.3333 0.2730  3 Pt 2.59
Ga2 0.3333 0.6667 0.7270  3 Pt 2.59
Pt1 0.6667 0.3333 0.7258  3 Ga 2.59
Pt2 0.3333 0.6667 0.2742  3 Ga 2.59

Properties
The value obtained for the total energy is -5.6263 eV per atom. Its calculated density is 11.0 g cm⁻³.

Record 6
Material: PrDyGa2Pt5
Method: DFT, GGA-PBE
State: relaxed

Lattice parameters (Å, degrees): 4.2369 4.2369 9.3826 90.00 90.00 90.00
With the nearest neighbours (Å) after each atom.
Element x y z (fractional)
Pr1 0.0000 0.0000 0.5000  12 Pt 3.00-3.04
Dy1 0.0000 0.0000 0.0000  8 Ga 3.23, 8 Pt 3.29
Ga1 0.5000 0.5000 0.1299  1 Ga 2.44, 4 Pt 2.48
Ga2 0.5000 0.5000 0.8701  1 Ga 2.44, 4 Pt 2.48
Pt1 0.0000 0.5000 0.2682  2 Ga 2.48
Pt2 0.5000 0.0000 0.2682  2 Ga 2.48
Pt3 0.0000 0.5000 0.7318  2 Ga 2.48
Pt4 0.5000 0.0000 0.7318  2 Ga 2.48
Pt5 0.5000 0.5000 0.5000  4 Pr 3.00, 8 Pt 3.04

Properties
The value obtained for the total energy is -5.9527 eV per atom. Its calculated density is 14.0 g cm⁻³.

Record 7
Material: Pr2DyGa3Pt4
Method: DFT, GGA-PBE
State: relaxed

Lattice parameters (Å, degrees): 4.2905 4.2905 11.3762 90.00 90.00 90.00
With the nearest neighbours (Å) after each atom.
Element x y z (fractional)
Pr1 0.5000 0.0000 0.2277  4 Ga 3.26, 8 Pt 3.31-3.36
Pr2 0.0000 0.5000 0.7723  4 Ga 3.26, 8 Pt 3.31-3.36
Dy1 0.5000 0.5000 0.5000  4 Pt 2.79, 4 Ga 3.03
Ga1 0.0000 0.0000 0.5000  4 Pt 2.79, 4 Dy 3.03
Ga2 0.5000 0.0000 0.8775  5 Pt 2.51-2.56
Ga3 0.0000 0.5000 0.1225  5 Pt 2.51-2.56
Pt1 0.5000 0.5000 0.0000  4 Ga 2.56
Pt2 0.0000 0.0000 0.0000  4 Ga 2.56
Pt3 0.5000 0.0000 0.6565  3 Ga 2.51-2.79, 2 Dy 2.79
Pt4 0.0000 0.5000 0.3435  3 Ga 2.51-2.79, 2 Dy 2.79

Properties
The value obtained for the total energy is -5.7205 eV per atom. Its calculated density is 11.4 g cm⁻³.

Record 8
Material: PrDyGa2Rh2
Method: DFT, GGA-PBE
State: relaxed

Lattice parameters (Å, degrees): 4.4045 4.4045 7.3880 90.00 90.00 120.00
With the nearest neighbours (Å) after each atom.
Element x y z (fractional)
Pr1 0.0000 0.0000 0.0000  6 Ga 3.23, 6 Rh 3.31
Dy1 0.0000 0.0000 0.5000  6 Rh 2.99, 6 Ga 3.06
Ga1 0.6667 0.3333 0.7306  3 Rh 2.55
Ga2 0.3333 0.6667 0.2694  3 Rh 2.55
Rh1 0.6667 0.3333 0.2868  3 Ga 2.55
Rh2 0.3333 0.6667 0.7132  3 Ga 2.55

Properties
The value obtained for the total energy is -5.8186 eV per atom. Its calculated density is 8.7 g cm⁻³.

Question: Among the records above, which one has the highest calculated density?
Answer: PrDyGa2Pt5

Question: The highest calculated density belongs to which entry?
Answer: PrDyGa2Pt5

Question: calculated density of number 3 (PrDyGa4)?
Answer: 7.3 g cm⁻³